No. 1
VASP calculation (GGA-PBE) on a geometry-optimized BeTe3I structure.

a = 5.1052 Å, b = 5.1052 Å, c = 5.1052 Å
α = 90.00°, β = 90.00°, γ = 90.00°
Sites, in units of the cell vectors:
I  0.5000  0.5000  0.5000
Be  0.0000  0.0000  0.0000
Te  0.0000  0.5000  0.0000
Te  0.0000  0.0000  0.5000
Te  0.5000  0.0000  0.0000

Computed properties:
For the energy relative to the lowest polymorph listed for this composition, the calculation gives 0 meV/atom. The value obtained for the energy is -0.1890 Ry per atom.

***

No. 2
VASP calculation (GGA-PBE) on a geometry-optimized BeTeI structure.

a = 4.0064 Å, b = 6.7361 Å, c = 10.1187 Å
α = 50.55°, β = 78.58°, γ = 72.70°
Sites, in units of the cell vectors:
Te  0.3335  0.0932  0.2398
Te  0.6665  0.9068  0.7602
Be  0.1109  0.8732  0.9049
Be  0.8891  0.1268  0.0951
I  0.9203  0.3715  0.7879
I  0.0797  0.6285  0.2121

Computed properties:
The value obtained for the energy is -0.2127 Ry per atom.

***

No. 3
VASP calculation (GGA-PBE) on a geometry-optimized BeTlTeI2 structure.

a = 5.5174 Å, b = 5.5174 Å, c = 5.0793 Å
α = 90.00°, β = 90.00°, γ = 90.00°
Sites, in units of the cell vectors:
I  0.0000  0.5000  0.0000
I  0.5000  0.0000  0.0000
Be  0.0000  0.0000  0.0000
Tl  0.5000  0.5000  0.5000
Te  0.0000  0.0000  0.5000

Computed properties:
For the energy relative to the lowest polymorph listed for this composition, the calculation gives 0 meV/atom. The value obtained for the energy is -0.1875 Ry per atom.

***

No. 4
VASP calculation (GGA-PBE) on a geometry-optimized BeTlTeI2 structure.

a = 6.0318 Å, b = 6.0318 Å, c = 5.9065 Å
α = 90.00°, β = 90.00°, γ = 90.00°
Sites, in units of the cell vectors:
I  0.0000  0.5000  0.0000
I  0.5000  0.0000  0.0000
Be  0.5000  0.5000  0.5000
Tl  0.0000  0.0000  0.0000
Te  0.0000  0.0000  0.5000

Computed properties:
For the energy relative to the lowest polymorph listed for this composition, the calculation gives 874 meV/atom. The value obtained for the energy is -0.1233 Ry per atom.

***

No. 5
VASP calculation (GGA-PBE) on a geometry-optimized BeVTe2I structure.

a = 4.9650 Å, b = 4.9650 Å, c = 5.1548 Å
α = 90.00°, β = 90.00°, γ = 90.00°
Each line ends with the local moment (μB).
Sites, in units of the cell vectors:
I  0.0000  0.0000  0.5000  0.01
Be  0.0000  0.0000  0.0000  0.00
Te  0.0000  0.5000  0.0000  0.06
Te  0.5000  0.0000  0.0000  0.06
V  0.5000  0.5000  0.5000  -0.25

Computed properties:
For the energy relative to the lowest polymorph listed for this composition, the calculation gives 188 meV/atom. The value obtained for the energy is -0.2416 Ry per atom.

***

No. 6
VASP calculation (GGA-PBE) on a geometry-optimized BeVTe2I structure.

a = 5.1326 Å, b = 5.1326 Å, c = 5.8350 Å
α = 90.00°, β = 90.00°, γ = 90.00°
Each line ends with the local moment (μB).
Sites, in units of the cell vectors:
I  0.0000  0.0000  0.5000  -0.07
Be  0.5000  0.5000  0.5000  -0.11
Te  0.0000  0.5000  0.0000  -0.19
Te  0.5000  0.0000  0.0000  -0.19
V  0.0000  0.0000  0.0000  1.47

Computed properties:
For the energy relative to the lowest polymorph listed for this composition, the calculation gives 0 meV/atom. The value obtained for the energy is -0.2555 Ry per atom.

***

No. 7
VASP calculation (GGA-PBE) on a geometry-optimized BeTeWI2 structure.

a = 5.6836 Å, b = 5.6836 Å, c = 5.2188 Å
α = 90.00°, β = 90.00°, γ = 90.00°
Each line ends with the local moment (μB).
Sites, in units of the cell vectors:
I  0.0000  0.5000  0.0000  0.03
I  0.5000  0.0000  0.0000  0.03
Be  0.5000  0.5000  0.5000  -0.05
Te  0.0000  0.0000  0.5000  -0.08
W  0.0000  0.0000  0.0000  1.44

Computed properties:
For the energy relative to the lowest polymorph listed for this composition, the calculation gives 0 meV/atom. The value obtained for the energy is -0.2590 Ry per atom.

***

No. 8
VASP calculation (GGA-PBE) on a geometry-optimized BeTeWI2 structure.

a = 5.0283 Å, b = 5.0283 Å, c = 5.2605 Å
α = 90.00°, β = 90.00°, γ = 90.00°
Each line ends with the local moment (μB).
Sites, in units of the cell vectors:
I  0.0000  0.5000  0.0000  -0.06
I  0.5000  0.0000  0.0000  -0.06
Be  0.0000  0.0000  0.0000  0.02
Te  0.0000  0.0000  0.5000  -0.20
W  0.5000  0.5000  0.5000  3.05

Computed properties:
For the energy relative to the lowest polymorph listed for this composition, the calculation gives 193 meV/atom. The value obtained for the energy is -0.2447 Ry per atom.